(1)
This record from Alexandria via LeMat-Bulk describes a relaxed Cs2Cd2Cl5 crystal. The functional is PBE.

The value obtained for the distance to the lowest polymorph of the same formula is 2.17 kJ/mol of atoms. For the uncorrected formation energy, the calculation gives -1.3460 eV per atom.

abc: 15.048 5.583 8.273
angles: 90.00 110.35 90.00
Space group C2/m (No. 12)
Unique sites:
Cs 0.102 0.000 0.311
Cd 0.149 0.500 0.887
Cl 0.000 0.500 0.000
Cl 0.150 0.500 0.576
Cl 0.157 0.000 0.923

---

(2)
This record from Alexandria via LeMat-Bulk describes a relaxed Dy4InAu3 crystal. The functional is PBE.

The calculation puts the energy relative to the elements at -0.747 eV per atom.

abc: 3.626 5.163 10.316
angles: 90.00 90.00 90.00
Space group Pmmm (No. 47)
Unique sites:
Dy 0.000 0.000 0.000
Dy 0.000 0.000 0.500
Dy 0.000 0.500 0.238
In 0.500 0.500 0.500
Au 0.500 0.000 0.257
Au 0.500 0.500 0.000

---

(3)
This record from Alexandria via LeMat-Bulk describes a relaxed Tl2WAu crystal. The functional is PBE.

The calculation puts the energy relative to the elements at 0.827 eV per atom. The value obtained for the distance to the lowest polymorph of the same formula is 24.54 kJ/mol of atoms.

abc: 2.942 2.942 9.845
angles: 90.00 90.00 90.00
Space group P4/mmm (No. 123)
Unique sites:
Tl 0.000 0.000 0.242
W 0.500 0.500 0.000
Au 0.500 0.500 0.500

---

(4)
This record from Alexandria via LeMat-Bulk describes a relaxed LaHoTm2 crystal. The functional is PBE.

The calculation puts the energy relative to the elements at 0.024 eV per atom. The value obtained for the distance to the lowest polymorph of the same formula is 1.07 kJ/mol of atoms.

abc: 6.218 7.294 11.405
angles: 90.00 90.00 90.00
Space group P2/c (No. 13)
Unique sites:
La 0.174 0.001 0.375
Ho 0.332 0.259 0.125
Tm 0.167 0.500 0.375
Tm 0.331 0.259 0.625

---

(5)
This record from Alexandria via LeMat-Bulk describes a relaxed UBiRh2 crystal. The functional is PBE.

The calculation puts the energy relative to the elements at -0.261 eV per atom.

abc: 3.431 3.431 7.016
angles: 90.00 90.00 90.00
Space group P4/mmm (No. 123)
Unique sites:
U 0.000 0.000 0.000
Bi 0.000 0.000 0.500
Rh 0.500 0.500 0.211

---

(6)
This record from Alexandria via LeMat-Bulk describes a relaxed Zn2As crystal. The functional is PBE.

The calculation puts the energy relative to the elements at 0.243 eV per atom. The value obtained for the distance to the lowest polymorph of the same formula is 21.57 kJ/mol of atoms.

abc: 4.3356 4.3356 3.3031
angles: 90.00 90.00 120.00
Space group P6/mmm (No. 191)
Unique sites:
Zn 0.3333 0.6667 0.0000
As 0.0000 0.0000 0.5000

---

(7)
This record from Alexandria via LeMat-Bulk describes a relaxed Pm7Zn2In2 crystal. The functional is PBE.

The calculation puts the energy relative to the elements at -0.064 eV per atom.

abc: 7.926 11.328 7.671
angles: 90.00 90.00 90.00
Space group Cmmm (No. 65)
Unique sites:
Pm 0.000 0.000 0.000
Pm 0.000 0.500 0.241
Pm 0.250 0.250 0.278
Zn 0.000 0.286 0.000
In 0.177 0.000 0.500

---

(8)
This record from Alexandria via LeMat-Bulk describes a relaxed Cd3AgRh2 crystal. The functional is PBE.

The calculation puts the energy relative to the elements at -0.080 eV per atom. The value obtained for the distance to the lowest polymorph of the same formula is 1.90 kJ/mol of atoms.

abc: 3.309 3.309 9.660
angles: 90.00 90.00 90.00
Space group P4/mmm (No. 123)
Unique sites:
Cd 0.000 0.000 0.000
Cd 0.000 0.000 0.320
Ag 0.500 0.500 0.500
Rh 0.500 0.500 0.164

---

no.,DOS(E_F) (states/eV/atom),magnetization (μB/atom)
1,0.01,0.00
2,0.59,0.00
3,0.76,0.00
4,1.78,0.00
5,1.30,0.38
6,0.22,0.00
7,1.34,0.00
8,0.46,0.00